Entry from Alexandria via LeMat-Bulk: a relaxed structure of Nd2GaSi3Pt4 (GGA-PBE).

**Energy relative to the elements, uncorrected**: -105 kJ per mole of atoms
**Magnetic moment**: 0.000 μB per cell

Structure (CIF):
```
data_Nd2GaSi3Pt4
_chemical_formula_sum 'Nd2 Ga1 Si3 Pt4'
_cell_length_a 4.296
_cell_length_b 4.296
_cell_length_c 9.949
_cell_angle_alpha 90.00
_cell_angle_beta 90.00
_cell_angle_gamma 90.00
_space_group_name_H-M_alt 'P -4 m 2'
_space_group_IT_number 115
_space_group_name_Hall 'P -4 -2'
loop_
_atom_site_label
_atom_site_type_symbol
_atom_site_fract_x
_atom_site_fract_y
_atom_site_fract_z
Nd1 Nd 0.000 0.500 0.246
Ga1 Ga 0.500 0.500 0.000
Si1 Si 0.000 0.000 0.000
Si2 Si 0.000 0.500 0.627
Pt1 Pt 0.000 0.000 0.500
Pt2 Pt 0.000 0.500 0.868
Pt3 Pt 0.500 0.500 0.500
```